Record 1
Material: Ba2AlIn
Method: DFT, PBE
State: relaxed

a = 3.9601 Å, b = 3.9601 Å, c = 9.9824 Å
α = 90.00°, β = 90.00°, γ = 90.00°
Space group P4mm (No. 99)
One atom of each set of equivalent atoms:
Ba 0.0000 0.0000 0.0000
Ba 0.5000 0.5000 0.3978
Al 0.5000 0.5000 0.7701
In 0.0000 0.0000 0.6351

Summary:
**E_tot**: -2.65 eV per atom
**Relative energy among the computed polymorphs**: 179 meV/atom
**Formation energy from the elements**: -0.07 eV/atom

***

Record 2
Material: BaLa2AlIn
Method: DFT, PBE
State: relaxed

a = 5.8869 Å, b = 5.8869 Å, c = 5.9358 Å
α = 90.00°, β = 90.00°, γ = 90.00°
Space group P4/mmm (No. 123)
One atom of each set of equivalent atoms:
Ba 0.0000 0.0000 0.0000
La 0.0000 0.5000 0.0000
Al 0.5000 0.5000 0.5000
In 0.0000 0.0000 0.5000

Summary:
**E_tot**: -2.66 eV per atom
**Formation energy from the elements**: 1.00 eV/atom

***

Record 3
Material: BaLaAlIn
Method: DFT, PBE
State: relaxed

a = 8.0757 Å, b = 8.0757 Å, c = 8.0757 Å
α = 90.00°, β = 90.00°, γ = 90.00°
Space group F-43m (No. 216)
One atom of each set of equivalent atoms:
Ba 0.0000 0.0000 0.0000
La 0.0000 0.0000 0.5000
Al 0.2500 0.2500 0.7500
In 0.2500 0.2500 0.2500

Summary:
**E_tot**: -3.55 eV per atom
**Formation energy from the elements**: -0.22 eV/atom

***

Record 4
Material: BaLiAlIn
Method: DFT, PBE
State: relaxed

a = 7.4989 Å, b = 7.4989 Å, c = 7.4989 Å
α = 90.00°, β = 90.00°, γ = 90.00°
Space group F-43m (No. 216)
One atom of each set of equivalent atoms:
Ba 0.0000 0.0000 0.0000
Li 0.2500 0.2500 0.2500
Al 0.2500 0.2500 0.7500
In 0.0000 0.0000 0.5000

Summary:
**E_tot**: -2.73 eV per atom
**Formation energy from the elements**: -0.15 eV/atom

***

Record 5
Material: Ba2LiAlIn6
Method: DFT, PBE
State: relaxed

a = 7.2240 Å, b = 7.2240 Å, c = 38.7867 Å
α = 90.00°, β = 90.00°, γ = 120.00°
Space group R-3m (No. 166, hexagonal axes)
One atom of each set of equivalent atoms:
Ba 0.0000 0.0000 0.1075
Ba 0.0000 0.0000 0.2791
Li 0.0000 0.0000 0.0000
Li 0.0000 0.0000 0.5000
Al 0.0000 0.0000 0.4253
In 0.0460 0.5230 0.3021
In 0.0484 0.5242 0.8638

Summary:
**E_tot**: -2.84 eV per atom
**Formation energy from the elements**: -0.25 eV/atom

***

Record 6
Material: BaMgAlIn2
Method: DFT, PBE
State: relaxed

a = 4.7766 Å, b = 4.7766 Å, c = 12.4234 Å
α = 90.00°, β = 90.00°, γ = 90.00°
Space group I-4m2 (No. 119)
One atom of each set of equivalent atoms:
Ba 0.0000 0.0000 0.0000
Mg 0.0000 0.5000 0.7500
Al 0.0000 0.5000 0.2500
In 0.0000 0.0000 0.3824

Summary:
**E_tot**: -2.84 eV per atom
**Formation energy from the elements**: -0.30 eV/atom

***

Record 7
Material: BaMg2AlIn4
Method: DFT, PBE
State: relaxed

a = 5.1207 Å, b = 5.1207 Å, c = 29.3190 Å
α = 90.00°, β = 90.00°, γ = 120.00°
Space group R-3m (No. 166, hexagonal axes)
One atom of each set of equivalent atoms:
Ba 0.0000 0.0000 0.0000
Mg 0.0000 0.0000 0.2367
Al 0.0000 0.0000 0.5000
In 0.0000 0.0000 0.1305
In 0.0000 0.0000 0.4040

Summary:
**E_tot**: -2.63 eV per atom
**Formation energy from the elements**: -0.16 eV/atom

***

Record 8
Material: Ba2MgAl4In3
Method: DFT, PBE
State: relaxed

a = 4.7543 Å, b = 4.7543 Å, c = 11.8887 Å
α = 90.00°, β = 90.00°, γ = 90.00°
Space group P-4m2 (No. 115)
One atom of each set of equivalent atoms:
Ba 0.0000 0.5000 0.2463
Mg 0.0000 0.0000 0.5000
Al 0.0000 0.0000 0.0000
Al 0.0000 0.5000 0.6351
Al 0.5000 0.5000 0.0000
In 0.0000 0.5000 0.8682
In 0.5000 0.5000 0.5000

Summary:
**E_tot**: -3.11 eV per atom
**Formation energy from the elements**: -0.25 eV/atom

***

Record 9
Material: Ba2Mg3AlIn4
Method: DFT, PBE
State: relaxed

a = 4.8580 Å, b = 4.8580 Å, c = 12.3437 Å
α = 90.00°, β = 90.00°, γ = 90.00°
Space group P-4m2 (No. 115)
One atom of each set of equivalent atoms:
Ba 0.0000 0.5000 0.2413
Mg 0.0000 0.0000 0.0000
Mg 0.0000 0.5000 0.6380
Al 0.5000 0.5000 0.0000
In 0.0000 0.0000 0.5000
In 0.0000 0.5000 0.8708
In 0.5000 0.5000 0.5000

Summary:
**E_tot**: -2.62 eV per atom
**Formation energy from the elements**: -0.28 eV/atom

***

Record 10
Material: BaMgAl2In
Method: DFT, PBE
State: relaxed

a = 4.6767 Å, b = 4.7338 Å, c = 12.0778 Å
α = 90.00°, β = 90.00°, γ = 90.00°
Space group Imm2 (No. 44)
One atom of each set of equivalent atoms:
Ba 0.0000 0.0000 0.0000
Mg 0.0000 0.5000 0.7417
Al 0.0000 0.0000 0.6141
Al 0.0000 0.5000 0.2397
In 0.0000 0.0000 0.3828

Summary:
**E_tot**: -2.99 eV per atom
**Formation energy from the elements**: -0.25 eV/atom

***

Record 11
Material: BaMg4AlIn2
Method: DFT, PBE
State: relaxed

a = 4.9858 Å, b = 4.9858 Å, c = 30.0029 Å
α = 90.00°, β = 90.00°, γ = 120.00°
Space group R-3m (No. 166, hexagonal axes)
One atom of each set of equivalent atoms:
Ba 0.0000 0.0000 0.0000
Mg 0.0000 0.0000 0.1338
Mg 0.0000 0.0000 0.4067
Al 0.0000 0.0000 0.5000
In 0.0000 0.0000 0.2458

Summary:
**E_tot**: -2.27 eV per atom
**Formation energy from the elements**: -0.08 eV/atom

***

Record 12
Material: Ba2Mg4AlIn3
Method: DFT, PBE
State: relaxed

a = 4.9268 Å, b = 4.9268 Å, c = 12.2013 Å
α = 90.00°, β = 90.00°, γ = 90.00°
Space group P-4m2 (No. 115)
One atom of each set of equivalent atoms:
Ba 0.0000 0.5000 0.2450
Mg 0.0000 0.0000 0.5000
Mg 0.0000 0.5000 0.8712
Mg 0.5000 0.5000 0.5000
Al 0.5000 0.5000 0.0000
In 0.0000 0.0000 0.0000
In 0.0000 0.5000 0.6342

Summary:
**E_tot**: -2.45 eV per atom
**Formation energy from the elements**: -0.23 eV/atom

***

Record 13
Material: Ba2MgAl3In4
Method: DFT, PBE
State: relaxed

a = 4.8086 Å, b = 4.8086 Å, c = 11.9306 Å
α = 90.00°, β = 90.00°, γ = 90.00°
Space group P-4m2 (No. 115)
One atom of each set of equivalent atoms:
Ba 0.0000 0.5000 0.2459
Mg 0.0000 0.0000 0.5000
Al 0.0000 0.5000 0.8672
Al 0.5000 0.5000 0.5000
In 0.0000 0.0000 0.0000
In 0.0000 0.5000 0.6361
In 0.5000 0.5000 0.0000

Summary:
**E_tot**: -3.05 eV per atom
**Formation energy from the elements**: -0.29 eV/atom

***

Record 14
Material: Ba2Al2InO6
Method: DFT, PBE
State: relaxed

a = 5.9207 Å, b = 5.9207 Å, c = 17.7228 Å
α = 90.00°, β = 90.00°, γ = 120.00°
Space group R-3m (No. 166, hexagonal axes)
One atom of each set of equivalent atoms:
Ba 0.0000 0.0000 0.2143
Al 0.0000 0.0000 0.4255
In 0.0000 0.0000 0.0000
O 0.0038 0.5019 0.7465

Summary:
**E_tot**: -6.31 eV per atom
**E_form (uncorrected)**: -2323 meV/atom

***

Record 15
Material: Ba2AlInO5
Method: DFT, PBE
State: relaxed

a = 3.4178 Å, b = 15.3256 Å, c = 11.2411 Å
α = 90.00°, β = 90.00°, γ = 90.00°
Space group Cmc2_1 (No. 36)
One atom of each set of equivalent atoms:
Ba 0.0000 0.1120 0.0000
Ba 0.0000 0.1308 0.6412
Al 0.0000 0.4408 0.7579
In 0.0000 0.2097 0.3492
O 0.0000 0.0491 0.3266
O 0.0000 0.2936 0.9751
O 0.0000 0.3251 0.7214
O 0.0000 0.3470 0.3260
O 0.0000 0.4967 0.6218

Summary:
**E_tot**: -6.30 eV per atom
**E_form (uncorrected)**: -2396 meV/atom
**Relative energy among the computed polymorphs**: 90 meV/atom

***

Record 16
Material: Ba3Al2InO8
Method: DFT, PBE
State: relaxed

a = 5.8576 Å, b = 5.8576 Å, c = 7.5352 Å
α = 90.00°, β = 90.00°, γ = 120.00°
Space group P-3m1 (No. 164)
One atom of each set of equivalent atoms:
Ba 0.0000 0.0000 0.0000
Ba 0.3333 0.6667 0.6663
Al 0.3333 0.6667 0.2356
In 0.0000 0.0000 0.5000
O 0.1702 0.3404 0.3210
O 0.3333 0.6667 0.0034

Summary:
**E_tot**: -6.47 eV per atom
**E_form (uncorrected)**: -2490 meV/atom

***

Record 17
Material: Ba2AlInO5
Method: DFT, PBE
State: relaxed

a = 5.9315 Å, b = 5.9315 Å, c = 19.9960 Å
α = 90.00°, β = 90.00°, γ = 120.00°
Space group P6_3/mmc (No. 194)
One atom of each set of equivalent atoms:
Ba 0.0000 0.0000 0.0000
Ba 0.3333 0.6667 0.1055
Ba 0.3333 0.6667 0.7500
Al 0.0000 0.0000 0.1633
In 0.3333 0.6667 0.5669
O 0.0000 0.0000 0.2500
O 0.0000 0.5000 0.0000
O 0.1632 0.3264 0.6344

Summary:
**E_tot**: -6.39 eV per atom
**E_form (uncorrected)**: -2487 meV/atom
**Relative energy among the computed polymorphs**: 0 meV/atom

***

Record 18
Material: Ba2AlInPb6
Method: DFT, PBE
State: relaxed

a = 7.7639 Å, b = 7.7639 Å, c = 41.1600 Å
α = 90.00°, β = 90.00°, γ = 120.00°
Space group R-3m (No. 166, hexagonal axes)
One atom of each set of equivalent atoms:
Ba 0.0000 0.0000 0.1203
Ba 0.0000 0.0000 0.2981
Al 0.0000 0.0000 0.4310
In 0.0000 0.0000 0.0000
In 0.0000 0.0000 0.5000
Pb 0.0446 0.5223 0.2879
Pb 0.0625 0.5312 0.8768

Summary:
**E_tot**: -3.40 eV per atom
**Formation energy from the elements**: -0.14 eV/atom

***

Record 19
Material: Ba2AlInPd6
Method: DFT, PBE
State: relaxed

a = 12.4672 Å, b = 5.7786 Å, c = 8.6453 Å
α = 90.00°, β = 130.96°, γ = 90.00°
Space group C2/m (No. 12)
One atom of each set of equivalent atoms:
Ba 0.2499 0.0000 0.2049
Al 0.0000 0.0000 0.5000
In 0.0000 0.5000 0.0000
Pd 0.0207 0.2493 0.2832
Pd 0.2473 0.0000 0.6014

Summary:
**E_tot**: -4.73 eV per atom
**Formation energy from the elements**: -0.58 eV/atom

***

Record 20
Material: BaPmAlIn
Method: DFT, PBE
State: relaxed

a = 7.9825 Å, b = 7.9825 Å, c = 7.9825 Å
α = 90.00°, β = 90.00°, γ = 90.00°
Space group F-43m (No. 216)
One atom of each set of equivalent atoms:
Ba 0.0000 0.0000 0.0000
Pm 0.0000 0.0000 0.5000
Al 0.2500 0.2500 0.2500
In 0.2500 0.2500 0.7500

Summary:
**E_tot**: -3.47 eV per atom
**Formation energy from the elements**: -0.19 eV/atom